# 1
This record from the Alexandria database describes an optimized crystal structure of CaPtBr2. The functional is PBE.

Cell lengths 7.8887, 7.8887, 3.9937 Å; angles 74.77, 74.77, 27.39 degrees
Fractional positions:
Br (0.2739, 0.2739, 0.2298)
Br (0.0187, 0.0187, 0.9758)
Pt (0.7781, 0.7781, 0.7257)
Ca (0.4293, 0.4293, 0.5687)

Calculated values
Energy relative to the elements, uncorrected: -882 meV per atom
E_tot: -3.7295 eV per atom
Space group: Cm (8)
Total magnetic moment: 0.00 μB/f.u.
Offset from the most stable computed form: 206 meV/atom



# 2
This record from the Alexandria database describes an optimized crystal structure of CaPtBr4. The functional is PBE.

Cell lengths 6.1637, 6.1637, 6.1637 Å; angles 60.00, 60.00, 60.00 degrees
Fractional positions:
Br (0.3742, 0.8773, 0.3742)
Br (0.3742, 0.3742, 0.3742)
Br (0.8773, 0.3742, 0.3742)
Br (0.3742, 0.3742, 0.8773)
Ca (0.7500, 0.7500, 0.7500)
Pt (0.0000, 0.0000, 0.0000)

Calculated values
Energy relative to the elements, uncorrected: 335 meV per atom
E_tot: -2.1205 eV per atom
Space group: F-43m (216)
Total magnetic moment: 0.01 μB/f.u.



# 3
This record from the Alexandria database describes an optimized crystal structure of CaPtBr2. The functional is PBE.

Cell lengths 3.6073, 3.6071, 7.0541 Å; angles 90.00, 90.00, 90.00 degrees
Fractional positions:
Ca (0.5000, 0.5000, 0.2500)
Pt (0.5000, 0.5000, 0.7500)
Br (0.0000, 0.0000, 0.4889)
Br (0.0000, 0.0000, 0.0111)

Calculated values
Energy relative to the elements, uncorrected: -428 meV per atom
E_tot: -3.2753 eV per atom
Space group: P4/mmm (123)
Total magnetic moment: 0.00 μB/f.u.
Offset from the most stable computed form: 660 meV/atom



# 4
This record from the Alexandria database describes an optimized crystal structure of CaPtBr2. The functional is PBE.

Cell lengths 5.0960, 5.0960, 5.0960 Å; angles 60.00, 60.00, 60.00 degrees
Fractional positions:
Br (0.2500, 0.2500, 0.2500)
Br (0.0000, 0.0000, 0.0000)
Ca (0.5000, 0.5000, 0.5000)
Pt (0.7500, 0.7500, 0.7500)

Calculated values
Energy relative to the elements, uncorrected: -382 meV per atom
E_tot: -3.2295 eV per atom
Space group: F-43m (216)
Total magnetic moment: 0.00 μB/f.u.
Offset from the most stable computed form: 706 meV/atom



Which value of energy relative to the elements, uncorrected does entry 3 give? -428 meV per atom